Entry 1:
Density functional theory data (GGA-PBE) for a relaxed structure of FeTeW2Se.

a = 4.6507 Å, b = 4.5826 Å, c = 4.6507 Å
α = 90.00°, β = 90.00°, γ = 90.00°
Fractional coordinates of all 5 atoms:
Te1 0.0000 0.5000 0.0000
Se1 0.5000 0.5000 0.5000
W1 0.0000 0.0000 0.5000
W2 0.5000 0.0000 0.0000
Fe1 0.0000 0.0000 0.0000

Computed properties:
Raw total energy   -6.7059 eV per atom
Density   10.56 g/cm3
V   99.12 Å³/cell
Crystal system   tetragonal
Size of the total moment   0.0 μB per formula unit


Entry 2:
Density functional theory data (GGA-PBE) for a relaxed structure of ThBe2Co5.

a = 3.5644 Å, b = 5.7168 Å, c = 5.7168 Å
α = 66.81°, β = 71.84°, γ = 71.84°
Fractional coordinates of all 8 atoms:
Th1 0.0000 0.0000 0.0000
Be1 0.7660 0.7340 0.7340
Be2 0.2340 0.2660 0.2660
Co1 0.0000 0.5000 0.5000
Co2 0.6473 0.5403 0.1651
Co3 0.3527 0.4597 0.8349
Co4 0.3527 0.8349 0.4597
Co5 0.6473 0.1651 0.5403

Computed properties:
Formation energy   -0.1051 eV/atom
Density   9.11 g/cm3
V   99.34 Å³/cell
Crystal system   orthorhombic
Size of the total moment   3.9 μB per formula unit


Entry 3:
Density functional theory data (GGA-PBE) for a relaxed structure of Ba2ZnAg2.

a = 4.7725 Å, b = 6.6254 Å, c = 11.3331 Å
α = 83.75°, β = 77.84°, γ = 68.89°
Fractional coordinates of all 10 atoms:
Ba1 0.6949 0.2557 0.3545
Ba2 0.9088 0.2902 0.8923
Ba3 0.3051 0.7443 0.6454
Ba4 0.0912 0.7098 0.1077
Zn1 0.5810 0.1640 0.6739
Zn2 0.4190 0.8360 0.3261
Ag1 0.0513 0.3137 0.5837
Ag2 0.6165 0.8863 0.8806
Ag3 0.9487 0.6863 0.4163
Ag4 0.3835 0.1137 0.1194

Computed properties:
Formation energy   -0.2529 eV/atom
Relative energy among the computed polymorphs   0.0 kJ/mol of atoms
Density   5.65 g/cm3
V   326.59 Å³/cell
Crystal system   monoclinic
Size of the total moment   0.0 μB per formula unit


Entry 4:
Density functional theory data (GGA-PBE) for a relaxed structure of ZrU3Tl4Te8.

a = 8.6206 Å, b = 9.7861 Å, c = 8.6217 Å
α = 116.15°, β = 120.00°, γ = 90.00°
Fractional coordinates of all 16 atoms:
Zr1 0.0000 0.5000 0.0000
U1 0.5000 0.5000 0.0000
U2 0.5000 0.5000 0.5000
U3 0.0000 0.5000 0.5000
Tl1 0.5000 0.0000 0.0000
Tl2 0.5000 0.0000 0.5000
Tl3 0.0000 0.0000 0.0000
Tl4 0.0000 0.0000 0.5000
Te1 0.2318 0.7137 0.9819
Te2 0.2319 0.7137 0.4638
Te3 0.2598 0.2794 0.5196
Te4 0.7500 0.7137 0.9819
Te5 0.2500 0.2863 0.0181
Te6 0.7402 0.7206 0.4804
Te7 0.7681 0.2863 0.5362
Te8 0.7682 0.2863 0.0181

Computed properties:
Raw total energy   -5.3640 eV per atom
Density   8.10 g/cm3
V   542.27 Å³/cell
Crystal system   trigonal
Size of the total moment   10.0 μB per formula unit


Entry 5:
Density functional theory data (GGA-PBE) for a relaxed structure of Tc2HIrRh.

a = 3.8962 Å, b = 3.8962 Å, c = 3.9284 Å
α = 90.00°, β = 90.00°, γ = 90.00°
Fractional coordinates of all 5 atoms:
H1 0.0000 0.0000 0.0000
Ir1 0.5000 0.5000 0.5000
Rh1 0.0000 0.0000 0.5000
Tc1 0.0000 0.5000 0.0000
Tc2 0.5000 0.0000 0.0000

Computed properties:
Relative energy among the computed polymorphs   0.0 kJ/mol of atoms
Density   13.70 g/cm3
V   59.63 Å³/cell
Crystal system   tetragonal
Size of the total moment   0.0 μB per formula unit


Entry 6:
Density functional theory data (GGA-PBE) for a relaxed structure of CdNi3N.

a = 3.5932 Å, b = 3.5932 Å, c = 6.4087 Å
α = 90.00°, β = 90.00°, γ = 90.00°
Fractional coordinates of all 5 atoms:
Ni1 0.0000 0.0000 0.7340
Ni2 0.5000 0.0000 0.4680
Ni3 0.0000 0.5000 0.4680
N1 0.5000 0.5000 0.4682
Cd1 0.0000 0.0000 0.1255

Computed properties:
Relative energy among the computed polymorphs   49.1 kJ/mol of atoms
Density   6.07 g/cm3
V   82.74 Å³/cell
Crystal system   tetragonal
Size of the total moment   1.0 μB per formula unit


Entry 7:
Density functional theory data (GGA-PBE) for a relaxed structure of Rb2NaErCl6.

a = 7.5940 Å, b = 7.5940 Å, c = 7.5940 Å
α = 60.00°, β = 60.00°, γ = 60.00°
Fractional coordinates of all 10 atoms:
Na1 0.5000 0.5000 0.5000
Cl1 0.2431 0.7569 0.2431
Cl2 0.2431 0.7569 0.7569
Cl3 0.7569 0.2431 0.7569
Cl4 0.7569 0.2431 0.2431
Cl5 0.2431 0.2431 0.7569
Cl6 0.7569 0.7569 0.2431
Rb1 0.7500 0.7500 0.7500
Rb2 0.2500 0.2500 0.2500
Er1 0.0000 0.0000 0.0000

Computed properties:
Raw total energy   -3.9926 eV per atom
Density   3.08 g/cm3
V   309.67 Å³/cell
Crystal system   cubic
Size of the total moment   0.0 μB per formula unit


Entry 8:
Density functional theory data (GGA-PBE) for a relaxed structure of Hf3TcSb.

a = 5.1492 Å, b = 5.1492 Å, c = 5.1492 Å
α = 90.00°, β = 90.00°, γ = 90.00°
Fractional coordinates of all 5 atoms:
Sb1 0.0000 0.0000 0.0000
Hf1 0.0000 0.5000 0.0000
Hf2 0.0000 0.0000 0.5000
Hf3 0.5000 0.0000 0.0000
Tc1 0.5000 0.5000 0.5000

Computed properties:
Relative energy among the computed polymorphs   126.6 kJ/mol of atoms
Density   9.19 g/cm3
V   136.53 Å³/cell
Crystal system   cubic
Size of the total moment   2.3 μB per formula unit